No. 1
VASP calculation (PBE) on a relaxed SrNi3Sn3 crystal.

a b c (Å): 7.009 7.009 7.009
angles (deg): 90.00 90.00 90.00
Element x y z (fractional)
Sr 0.000 0.000 0.000
Sr 0.500 0.500 0.500
Ni 0.000 0.250 0.500
Ni 0.000 0.750 0.500
Ni 0.250 0.500 0.000
Ni 0.500 0.000 0.250
Ni 0.500 0.000 0.750
Ni 0.750 0.500 0.000
Sn 0.000 0.500 0.250
Sn 0.000 0.500 0.750
Sn 0.250 0.000 0.500
Sn 0.500 0.250 0.000
Sn 0.500 0.750 0.000
Sn 0.750 0.000 0.500

Summary:
- Fermi-level density of states: 5.0 states/eV/f.u.
- Formation energy from the elements: -0.065 eV/atom
- Space-group type: Pm-3n
- ρ: 5.98 Mg/m³

No. 2
VASP calculation (PBE) on a relaxed La2ZnNiOs crystal.

a b c (Å): 5.568 5.568 4.574
angles (deg): 90.00 90.00 90.00
Element x y z (fractional)
La 0.000 0.500 0.000
La 0.500 0.000 0.000
Zn 0.000 0.000 0.500
Ni 0.500 0.500 0.500
Os 0.500 0.500 0.000

Summary:
- Fermi-level density of states: 3.2 states/eV/f.u.
- Formation energy from the elements: 0.160 eV/atom
- Space-group type: P4/mmm
- ρ: 6.94 Mg/m³

No. 3
VASP calculation (PBE) on a relaxed AcPm4Hg4 crystal.

a b c (Å): 9.981 9.981 5.644
angles (deg): 90.00 90.00 90.00
Element x y z (fractional)
Ac 0.250 0.250 0.250
Ac 0.750 0.750 0.750
Pm 0.103 0.845 0.665
Pm 0.155 0.603 0.165
Pm 0.345 0.897 0.165
Pm 0.397 0.655 0.665
Pm 0.603 0.345 0.335
Pm 0.655 0.103 0.835
Pm 0.845 0.397 0.835
Pm 0.897 0.155 0.335
Hg 0.040 0.142 0.833
Hg 0.142 0.460 0.667
Hg 0.358 0.040 0.667
Hg 0.460 0.358 0.833
Hg 0.540 0.642 0.167
Hg 0.642 0.960 0.333
Hg 0.858 0.540 0.333
Hg 0.960 0.858 0.167

Summary:
- Fermi-level density of states: 7.6 states/eV/f.u.
- Formation energy from the elements: -0.260 eV/atom
- Space-group type: P4_2/n
- ρ: 9.51 Mg/m³